[1]
Crystalline K4SnSe4 at its relaxed geometry, computed with PBE-GGA. Values from VASP.

## Properties
E_form (uncorrected)   -1.0264 eV/atom
Space group   No. 137
Magnetization   0.0 μB/f.u.
Calculated density   3.0 g/cm3
Energy relative to the lowest polymorph listed for this composition   0.013 eV/atom
Energy   -3.508 eV per atom

The structure in Quantum ESPRESSO input format:
```
&SYSTEM
  ibrav = 0, nat = 18, ntyp = 3
/
ATOMIC_SPECIES
K 39.10 K.upf
Sn 118.71 Sn.upf
Se 78.96 Se.upf
CELL_PARAMETERS angstrom
9.285 0.000 0.000
0.000 9.285 0.000
0.000 0.000 7.508
ATOMIC_POSITIONS crystal
K 0.019 0.250 0.104
K 0.250 0.019 0.604
K 0.250 0.481 0.604
K 0.481 0.250 0.104
K 0.519 0.750 0.896
K 0.750 0.519 0.396
K 0.750 0.981 0.396
K 0.981 0.750 0.896
Sn 0.250 0.750 0.250
Sn 0.750 0.250 0.750
Se 0.027 0.750 0.450
Se 0.250 0.527 0.050
Se 0.250 0.973 0.050
Se 0.473 0.750 0.450
Se 0.527 0.250 0.550
Se 0.750 0.027 0.950
Se 0.750 0.473 0.950
Se 0.973 0.250 0.550
```



[2]
Crystalline AcDyTl2 at its relaxed geometry, computed with PBE-GGA. Values from VASP.

## Properties
ΔH_f (0 K)   -222 meV/atom
Space group   No. 166
Magnetization   0.0 μB/f.u.
Calculated density   9.9 g/cm3
Energy   -3.582 eV per atom

The structure in Quantum ESPRESSO input format:
```
&SYSTEM
  ibrav = 0, nat = 12, ntyp = 3
/
ATOMIC_SPECIES
Ac 227.00 Ac.upf
Dy 162.50 Dy.upf
Tl 204.38 Tl.upf
CELL_PARAMETERS angstrom
3.929 0.000 0.000
-1.964 3.402 0.000
0.000 0.000 29.989
ATOMIC_POSITIONS crystal
Ac 0.000 0.000 0.000
Ac 0.333 0.667 0.667
Ac 0.667 0.333 0.333
Dy 0.000 0.000 0.500
Dy 0.333 0.667 0.167
Dy 0.667 0.333 0.833
Tl 0.000 0.000 0.244
Tl 0.000 0.000 0.756
Tl 0.333 0.667 0.423
Tl 0.333 0.667 0.910
Tl 0.667 0.333 0.090
Tl 0.667 0.333 0.577
```



[3]
Crystalline In4Hg3Se at its relaxed geometry, computed with PBE-GGA. Values from VASP.

## Properties
E_form (uncorrected)   -0.1009 eV/atom
Space group   No. 65
Magnetization   0.0 μB/f.u.
Calculated density   8.4 g/cm3
Energy   -2.019 eV per atom

The structure in Quantum ESPRESSO input format:
```
&SYSTEM
  ibrav = 0, nat = 16, ntyp = 3
/
ATOMIC_SPECIES
In 114.82 In.upf
Hg 200.59 Hg.upf
Se 78.96 Se.upf
CELL_PARAMETERS angstrom
9.220 0.000 0.000
0.000 12.165 0.000
0.000 0.000 4.030
ATOMIC_POSITIONS crystal
In 0.000 0.239 0.000
In 0.000 0.761 0.000
In 0.233 0.000 0.500
In 0.267 0.500 0.500
In 0.500 0.261 0.000
In 0.500 0.739 0.000
In 0.733 0.500 0.500
In 0.767 0.000 0.500
Hg 0.000 0.500 0.000
Hg 0.250 0.250 0.500
Hg 0.250 0.750 0.500
Hg 0.500 0.000 0.000
Hg 0.750 0.250 0.500
Hg 0.750 0.750 0.500
Se 0.000 0.000 0.000
Se 0.500 0.500 0.000
```



[4]
Crystalline AcPuZnAg at its relaxed geometry, computed with PBE-GGA. Values from VASP.

## Properties
ΔH_f (0 K)   -36 meV/atom
Space group   No. 216
Magnetization   6.1 μB/f.u.
Calculated density   9.7 g/cm3
Energy   -5.677 eV per atom

The structure in Quantum ESPRESSO input format:
```
&SYSTEM
  ibrav = 0, nat = 16, ntyp = 4
/
ATOMIC_SPECIES
Ac 227.00 Ac.upf
Pu 244.00 Pu.upf
Zn 65.41 Zn.upf
Ag 107.87 Ag.upf
CELL_PARAMETERS angstrom
7.612 0.000 0.000
0.000 7.612 0.000
0.000 0.000 7.612
ATOMIC_POSITIONS crystal
Ac 0.000 0.000 0.000
Ac 0.000 0.500 0.500
Ac 0.500 0.000 0.500
Ac 0.500 0.500 0.000
Pu 0.000 0.000 0.500
Pu 0.000 0.500 0.000
Pu 0.500 0.000 0.000
Pu 0.500 0.500 0.500
Zn 0.250 0.250 0.250
Zn 0.250 0.750 0.750
Zn 0.750 0.250 0.750
Zn 0.750 0.750 0.250
Ag 0.250 0.250 0.750
Ag 0.250 0.750 0.250
Ag 0.750 0.250 0.250
Ag 0.750 0.750 0.750
```



[5]
Crystalline Ga2AgPt at its relaxed geometry, computed with PBE-GGA. Values from VASP.

## Properties
ΔH_f (0 K)   -232 meV/atom
Space group   No. 123
Magnetization   0.0 μB/f.u.
Calculated density   11.2 g/cm3
Energy relative to the lowest polymorph listed for this composition   0.089 eV/atom
Energy   -3.968 eV per atom

The structure in Quantum ESPRESSO input format:
```
&SYSTEM
  ibrav = 0, nat = 4, ntyp = 3
/
ATOMIC_SPECIES
Ga 69.72 Ga.upf
Ag 107.87 Ag.upf
Pt 195.08 Pt.upf
CELL_PARAMETERS angstrom
3.275 0.000 0.000
0.000 3.275 0.000
0.000 0.000 6.132
ATOMIC_POSITIONS crystal
Ga 0.000 0.000 0.231
Ga 0.000 0.000 0.769
Ag 0.500 0.500 0.500
Pt 0.500 0.500 0.000
```



[6]
Crystalline CaScPdRh at its relaxed geometry, computed with PBE-GGA. Values from VASP.

## Properties
ΔH_f (0 K)   -678 meV/atom
Space group   No. 216
Magnetization   0.0 μB/f.u.
Calculated density   6.5 g/cm3
Energy   -5.897 eV per atom

The structure in Quantum ESPRESSO input format:
```
&SYSTEM
  ibrav = 0, nat = 16, ntyp = 4
/
ATOMIC_SPECIES
Ca 40.08 Ca.upf
Sc 44.96 Sc.upf
Pd 106.42 Pd.upf
Rh 102.91 Rh.upf
CELL_PARAMETERS angstrom
6.715 0.000 0.000
0.000 6.715 0.000
0.000 0.000 6.715
ATOMIC_POSITIONS crystal
Ca 0.000 0.000 0.000
Ca 0.000 0.500 0.500
Ca 0.500 0.000 0.500
Ca 0.500 0.500 0.000
Sc 0.000 0.000 0.500
Sc 0.000 0.500 0.000
Sc 0.500 0.000 0.000
Sc 0.500 0.500 0.500
Pd 0.250 0.250 0.250
Pd 0.250 0.750 0.750
Pd 0.750 0.250 0.750
Pd 0.750 0.750 0.250
Rh 0.250 0.250 0.750
Rh 0.250 0.750 0.250
Rh 0.750 0.250 0.250
Rh 0.750 0.750 0.750
```



[7]
Crystalline BeAg2Hg at its relaxed geometry, computed with PBE-GGA. Values from VASP.

## Properties
ΔH_f (0 K)   295 meV/atom
Space group   No. 123
Magnetization   0.0 μB/f.u.
Calculated density   10.5 g/cm3
Energy relative to the lowest polymorph listed for this composition   0.144 eV/atom
Energy   -2.138 eV per atom

The structure in Quantum ESPRESSO input format:
```
&SYSTEM
  ibrav = 0, nat = 4, ntyp = 3
/
ATOMIC_SPECIES
Be 9.01 Be.upf
Ag 107.87 Ag.upf
Hg 200.59 Hg.upf
CELL_PARAMETERS angstrom
4.041 0.000 0.000
0.000 4.041 0.000
0.000 0.000 4.132
ATOMIC_POSITIONS crystal
Be 0.000 0.000 0.000
Ag 0.000 0.500 0.500
Ag 0.500 0.000 0.500
Hg 0.500 0.500 0.000
```



[8]
Crystalline Ca2YCr at its relaxed geometry, computed with PBE-GGA. Values from VASP.

## Properties
ΔH_f (0 K)   506 meV/atom
Space group   No. 12
Magnetization   4.6 μB/f.u.
Calculated density   3.0 g/cm3
Energy relative to the lowest polymorph listed for this composition   0.226 eV/atom
Energy   -4.516 eV per atom

The structure in Quantum ESPRESSO input format:
```
&SYSTEM
  ibrav = 0, nat = 8, ntyp = 3
/
ATOMIC_SPECIES
Ca 40.08 Ca.upf
Y 88.91 Y.upf
Cr 52.00 Cr.upf
CELL_PARAMETERS angstrom
6.787 0.000 0.000
0.000 11.339 0.000
-1.266 0.000 3.232
ATOMIC_POSITIONS crystal
Ca 0.250 0.250 0.000
Ca 0.250 0.750 0.000
Ca 0.750 0.250 0.000
Ca 0.750 0.750 0.000
Y 0.000 0.000 0.500
Y 0.500 0.500 0.500
Cr 0.000 0.500 0.500
Cr 0.500 0.000 0.500
```



[9]
Crystalline K2LaPb at its relaxed geometry, computed with PBE-GGA. Values from VASP.

## Properties
ΔH_f (0 K)   30 meV/atom
Space group   No. 160
Magnetization   0.0 μB/f.u.
Calculated density   3.9 g/cm3
Energy   -2.678 eV per atom

The structure in Quantum ESPRESSO input format:
```
&SYSTEM
  ibrav = 0, nat = 12, ntyp = 3
/
ATOMIC_SPECIES
K 39.10 K.upf
La 138.91 La.upf
Pb 207.20 Pb.upf
CELL_PARAMETERS angstrom
3.932 0.000 0.000
-1.966 3.405 0.000
0.000 0.000 40.129
ATOMIC_POSITIONS crystal
K 0.000 0.000 0.000
K 0.000 0.000 0.229
K 0.333 0.667 0.667
K 0.333 0.667 0.896
K 0.667 0.333 0.333
K 0.667 0.333 0.563
La 0.000 0.000 0.469
La 0.333 0.667 0.135
La 0.667 0.333 0.802
Pb 0.000 0.000 0.738
Pb 0.333 0.667 0.404
Pb 0.667 0.333 0.071
```



[10]
Crystalline CaYIO6 at its relaxed geometry, computed with PBE-GGA. Values from VASP.

## Properties
E_form (uncorrected)   -1.8875 eV/atom
Space group   No. 163
Magnetization   0.0 μB/f.u.
Calculated density   4.5 g/cm3
Energy   -6.306 eV per atom

The structure in Quantum ESPRESSO input format:
```
&SYSTEM
  ibrav = 0, nat = 18, ntyp = 4
/
ATOMIC_SPECIES
Ca 40.08 Ca.upf
Y 88.91 Y.upf
I 126.90 I.upf
O 16.00 O.upf
CELL_PARAMETERS angstrom
5.614 0.000 0.000
-2.807 4.862 0.000
0.000 0.000 9.597
ATOMIC_POSITIONS crystal
Ca 0.000 0.000 0.000
Ca 0.000 0.000 0.500
Y 0.333 0.667 0.250
Y 0.667 0.333 0.750
I 0.333 0.667 0.750
I 0.667 0.333 0.250
O 0.050 0.388 0.638
O 0.050 0.662 0.862
O 0.338 0.388 0.862
O 0.338 0.950 0.638
O 0.388 0.050 0.138
O 0.388 0.338 0.362
O 0.612 0.662 0.638
O 0.612 0.950 0.862
O 0.662 0.050 0.362
O 0.662 0.612 0.138
O 0.950 0.338 0.138
O 0.950 0.612 0.362
```



[11]
Crystalline ScTiCO at its relaxed geometry, computed with PBE-GGA. Values from VASP.

## Properties
E_form (uncorrected)   -1.8223 eV/atom
Space group   No. 160
Magnetization   0.0 μB/f.u.
Calculated density   4.6 g/cm3
Energy   -8.924 eV per atom

The structure in Quantum ESPRESSO input format:
```
&SYSTEM
  ibrav = 0, nat = 12, ntyp = 4
/
ATOMIC_SPECIES
Sc 44.96 Sc.upf
Ti 47.87 Ti.upf
C 12.01 C.upf
O 16.00 O.upf
CELL_PARAMETERS angstrom
3.123 0.000 0.000
-1.562 2.705 0.000
0.000 0.000 15.610
ATOMIC_POSITIONS crystal
Sc 0.000 0.000 0.000
Sc 0.333 0.667 0.667
Sc 0.667 0.333 0.333
Ti 0.000 0.000 0.509
Ti 0.333 0.667 0.176
Ti 0.667 0.333 0.843
C 0.000 0.000 0.248
C 0.333 0.667 0.915
C 0.667 0.333 0.581
O 0.000 0.000 0.756
O 0.333 0.667 0.423
O 0.667 0.333 0.090
```



[12]
Crystalline La4TlGeI2 at its relaxed geometry, computed with PBE-GGA. Values from VASP.

## Properties
E_form (uncorrected)   -0.8904 eV/atom
Space group   No. 10
Magnetization   0.0 μB/f.u.
Calculated density   6.5 g/cm3
Energy   -4.615 eV per atom

The structure in Quantum ESPRESSO input format:
```
&SYSTEM
  ibrav = 0, nat = 8, ntyp = 4
/
ATOMIC_SPECIES
La 138.91 La.upf
Tl 204.38 Tl.upf
Ge 72.64 Ge.upf
I 126.90 I.upf
CELL_PARAMETERS angstrom
7.999 0.000 0.000
0.000 4.560 0.000
-2.631 0.000 7.594
ATOMIC_POSITIONS crystal
La 0.213 0.000 0.227
La 0.223 0.500 0.754
La 0.777 0.500 0.246
La 0.787 0.000 0.773
Tl 0.000 0.000 0.500
Ge 0.000 0.500 0.000
I 0.500 0.000 0.000
I 0.500 0.500 0.500
```